Entry 1:
! Dy2Zn9Ga3 PBE optimized geometry; values from VASP
&SYSTEM
  ibrav = 0, nat = 28, ntyp = 3
/
ATOMIC_SPECIES
Dy 162.50 Dy.upf
Zn 65.41 Zn.upf
Ga 69.72 Ga.upf
CELL_PARAMETERS angstrom
6.7050 -3.9568 0.0000
6.7050 3.9568 0.0000
0.0000 0.0000 9.0625
ATOMIC_POSITIONS crystal
Dy 0.0084 0.3133 0.2500
Dy 0.3133 0.0084 0.7500
Dy 0.6867 0.9916 0.2500
Dy 0.9916 0.6867 0.7500
Zn 0.0283 0.6517 0.0934
Zn 0.0283 0.6517 0.4066
Zn 0.1501 0.8499 0.2500
Zn 0.3347 0.6653 0.5634
Zn 0.3347 0.6653 0.9366
Zn 0.3483 0.9717 0.0934
Zn 0.3483 0.9717 0.4066
Zn 0.3582 0.4487 0.2500
Zn 0.4487 0.3582 0.7500
Zn 0.5513 0.6418 0.2500
Zn 0.6418 0.5513 0.7500
Zn 0.6517 0.0283 0.5934
Zn 0.6517 0.0283 0.9066
Zn 0.6653 0.3347 0.0634
Zn 0.6653 0.3347 0.4366
Zn 0.8499 0.1501 0.7500
Zn 0.9717 0.3483 0.5934
Zn 0.9717 0.3483 0.9066
Ga 0.0000 0.0000 0.0000
Ga 0.0000 0.0000 0.5000
Ga 0.3094 0.3094 0.0000
Ga 0.3094 0.3094 0.5000
Ga 0.6906 0.6906 0.0000
Ga 0.6906 0.6906 0.5000
! density: 7.75 Mg/m³
! space-group type: Cmcm (63)
! volume: 481 Å³ per cell
! total magnetic moment: 0.00 μB per formula unit
! calculated formation energy: -0.2429 eV per atom
! uncorrected energy: -2.37 eV/atom
! D(E_F): 8.6 states/eV/cell


Entry 2:
! LiBi3Mo PBE optimized geometry; values from VASP
&SYSTEM
  ibrav = 0, nat = 5, ntyp = 3
/
ATOMIC_SPECIES
Li 6.94 Li.upf
Bi 208.98 Bi.upf
Mo 95.94 Mo.upf
CELL_PARAMETERS angstrom
5.4526 0.0000 0.0000
0.0000 5.4526 0.0000
0.0000 0.0000 5.4526
ATOMIC_POSITIONS crystal
Li 0.0000 0.0000 0.0000
Bi 0.0000 0.5000 0.5000
Bi 0.5000 0.0000 0.5000
Bi 0.5000 0.5000 0.0000
Mo 0.5000 0.5000 0.5000
! density: 7.48 Mg/m³
! space-group type: Pm-3m (221)
! volume: 162 Å³ per cell
! total magnetic moment: 0.38 μB per formula unit
! calculated formation energy: 0.4850 eV per atom
! uncorrected energy: -4.39 eV/atom
! excess energy over the best structure of this formula in the dataset: 0.0 kJ/mol of formula units
! D(E_F): 8.6 states/eV/cell


Copy entry 1 word for word.
! Dy2Zn9Ga3 PBE optimized geometry; values from VASP
&SYSTEM
  ibrav = 0, nat = 28, ntyp = 3
/
ATOMIC_SPECIES
Dy 162.50 Dy.upf
Zn 65.41 Zn.upf
Ga 69.72 Ga.upf
CELL_PARAMETERS angstrom
6.7050 -3.9568 0.0000
6.7050 3.9568 0.0000
0.0000 0.0000 9.0625
ATOMIC_POSITIONS crystal
Dy 0.0084 0.3133 0.2500
Dy 0.3133 0.0084 0.7500
Dy 0.6867 0.9916 0.2500
Dy 0.9916 0.6867 0.7500
Zn 0.0283 0.6517 0.0934
Zn 0.0283 0.6517 0.4066
Zn 0.1501 0.8499 0.2500
Zn 0.3347 0.6653 0.5634
Zn 0.3347 0.6653 0.9366
Zn 0.3483 0.9717 0.0934
Zn 0.3483 0.9717 0.4066
Zn 0.3582 0.4487 0.2500
Zn 0.4487 0.3582 0.7500
Zn 0.5513 0.6418 0.2500
Zn 0.6418 0.5513 0.7500
Zn 0.6517 0.0283 0.5934
Zn 0.6517 0.0283 0.9066
Zn 0.6653 0.3347 0.0634
Zn 0.6653 0.3347 0.4366
Zn 0.8499 0.1501 0.7500
Zn 0.9717 0.3483 0.5934
Zn 0.9717 0.3483 0.9066
Ga 0.0000 0.0000 0.0000
Ga 0.0000 0.0000 0.5000
Ga 0.3094 0.3094 0.0000
Ga 0.3094 0.3094 0.5000
Ga 0.6906 0.6906 0.0000
Ga 0.6906 0.6906 0.5000
! density: 7.75 Mg/m³
! space-group type: Cmcm (63)
! volume: 481 Å³ per cell
! total magnetic moment: 0.00 μB per formula unit
! calculated formation energy: -0.2429 eV per atom
! uncorrected energy: -2.37 eV/atom
! D(E_F): 8.6 states/eV/cell


Question: The lowest total magnetic moment belongs to which entry?
Answer: Dy2Zn9Ga3